A:
## HPd3Pb (PBE)

Data for HPd3Pb after structural relaxation.

abc: 4.659 4.659 8.092
angles: 90.00 90.00 120.00
Sites, in units of the cell vectors:
Pb  0.333  0.667  0.750
Pb  0.667  0.333  0.250
H  0.000  0.000  0.000
H  0.000  0.000  0.500
Pd  0.000  0.000  0.250
Pd  0.000  0.000  0.750
Pd  0.333  0.667  0.081
Pd  0.333  0.667  0.419
Pd  0.667  0.333  0.581
Pd  0.667  0.333  0.919

Values from the calculation:
- Symmetry: P6_3/mmc (194)

***

B:
## HPd3Pb (PBE)

Data for HPd3Pb after structural relaxation.

abc: 23.444 5.650 9.399
angles: 90.00 164.90 90.00
Sites, in units of the cell vectors:
Pb  0.330  0.766  0.209
Pb  0.670  0.234  0.791
Pb  0.170  0.266  0.291
Pb  0.830  0.734  0.709
H  0.098  0.305  0.734
H  0.902  0.695  0.266
H  0.402  0.805  0.766
H  0.598  0.195  0.234
Pd  0.250  0.989  0.755
Pd  0.750  0.011  0.245
Pd  0.250  0.489  0.745
Pd  0.750  0.511  0.255
Pd  0.347  0.269  0.244
Pd  0.653  0.731  0.756
Pd  0.153  0.769  0.256
Pd  0.847  0.231  0.744
Pd  0.408  0.036  0.644
Pd  0.592  0.964  0.356
Pd  0.092  0.536  0.856
Pd  0.908  0.464  0.144

Values from the calculation:
- Symmetry: P2_1/c (14)

***

C:
## HPd3Pb (PBE)

Data for HPd3Pb after structural relaxation.

abc: 3.205 3.205 17.323
angles: 90.00 90.00 120.00
Sites, in units of the cell vectors:
Pb  0.000  0.000  0.000
Pb  0.000  0.000  0.500
H  0.333  0.667  0.750
H  0.667  0.333  0.250
Pd  0.000  0.000  0.250
Pd  0.000  0.000  0.750
Pd  0.333  0.667  0.876
Pd  0.333  0.667  0.624
Pd  0.667  0.333  0.376
Pd  0.667  0.333  0.124

Values from the calculation:
- Symmetry: P6_3/mmc (194)

***

Of them, A has the lowest stability.

***

A:
## HPd3Pb (PBE)

Data for HPd3Pb after structural relaxation.

abc: 3.878 3.878 6.582
angles: 90.00 90.00 90.00
Sites, in units of the cell vectors:
Pb  0.000  0.000  0.144
H  0.500  0.500  0.464
Pd  0.000  0.000  0.750
Pd  0.500  0.000  0.453
Pd  0.000  0.500  0.453

Values from the calculation:
- Symmetry: P4mm (99)

***

B:
## HPd3Pb (PBE)

Data for HPd3Pb after structural relaxation.

abc: 22.622 5.255 7.597
angles: 90.00 160.80 90.00
Sites, in units of the cell vectors:
Pb  0.196  0.115  0.986
Pb  0.804  0.885  0.014
Pb  0.304  0.615  0.514
Pb  0.696  0.385  0.486
H  0.602  0.800  0.872
H  0.398  0.200  0.128
H  0.898  0.300  0.628
H  0.102  0.700  0.372
Pd  0.318  0.899  0.006
Pd  0.682  0.101  0.994
Pd  0.182  0.399  0.494
Pd  0.818  0.601  0.506
Pd  0.436  0.428  0.489
Pd  0.564  0.572  0.511
Pd  0.064  0.928  0.011
Pd  0.936  0.072  0.989
Pd  0.561  0.896  0.997
Pd  0.439  0.104  0.003
Pd  0.939  0.396  0.503
Pd  0.061  0.604  0.497

Values from the calculation:
- Symmetry: P2_1/c (14)

***

C:
## HPd3Pb (PBE)

Data for HPd3Pb after structural relaxation.

abc: 4.827 4.827 10.427
angles: 76.62 76.62 90.00
Sites, in units of the cell vectors:
Pb  0.000  0.000  0.000
Pb  0.250  0.750  0.500
H  0.632  0.132  0.737
H  0.868  0.368  0.263
Pd  0.628  0.875  0.250
Pd  0.125  0.372  0.750
Pd  0.125  0.878  0.750
Pd  0.122  0.875  0.250
Pd  0.364  0.364  0.271
Pd  0.636  0.636  0.729

Values from the calculation:
- Symmetry: I-4m2 (119)

***

D:
## HPd3Pb (PBE)

Data for HPd3Pb after structural relaxation.

abc: 4.157 4.157 4.157
angles: 90.00 90.00 90.00
Sites, in units of the cell vectors:
Pb  0.500  0.500  0.500
H  0.000  0.000  0.000
Pd  0.000  0.500  0.000
Pd  0.000  0.000  0.500
Pd  0.500  0.000  0.000

Values from the calculation:
- Symmetry: Pm-3m (221)

***

Of them, C has the lowest stability.